Record 1
Material: LaZn2Cr
Method: DFT, PBE-GGA
State: relaxed

Crystal system: trigonal
Magnetization, μB/f.u.: 3.829
Total energy, eV/atom: -3.93
SG: R-3m

Cell: 9.321 9.321 9.321 Å, 20.32 20.32 20.32°
Sites, in units of the cell vectors:
Zn 0.514 0.514 0.514
Zn 0.986 0.986 0.986
La 0.750 0.750 0.750
Cr 0.250 0.250 0.250

Record 2
Material: La2ZnCr
Method: DFT, PBE-GGA
State: relaxed

Crystal system: monoclinic
Magnetization, μB/f.u.: 3.261
Total energy, eV/atom: -5.07
SG: Cm

Cell: 6.227 6.227 5.114 Å, 65.80 65.80 34.87°
Sites, in units of the cell vectors:
Cr 0.789 0.789 0.711
La 0.227 0.227 0.273
La 0.021 0.021 0.979
Zn 0.462 0.462 0.537

Record 3
Material: LaZn3Cr
Method: DFT, PBE-GGA
State: relaxed

Crystal system: cubic
Magnetization, μB/f.u.: 2.609
Total energy, eV/atom: -3.54
SG: Pm-3m
Polymorph energy (0 for the lowest one), meV/atom: 0

Cell: 4.797 4.797 4.797 Å, 90.00 90.00 90.00°
Sites, in units of the cell vectors:
Zn 0.500 0.000 0.000
Zn 0.000 0.000 0.500
Zn 0.000 0.500 0.000
Cr 0.000 0.000 0.000
La 0.500 0.500 0.500

Record 4
Material: La3ZnCr
Method: DFT, PBE-GGA
State: relaxed

Crystal system: cubic
Magnetization, μB/f.u.: 0.000
Total energy, eV/atom: -4.88
SG: Pm-3m

Cell: 5.267 5.267 5.267 Å, 90.00 90.00 90.00°
Sites, in units of the cell vectors:
La 0.000 0.000 0.500
La 0.000 0.500 0.000
La 0.500 0.000 0.000
Cr 0.000 0.000 0.000
Zn 0.500 0.500 0.500

Record 5
Material: LaZnCr2
Method: DFT, PBE-GGA
State: relaxed

Crystal system: tetragonal
Magnetization, μB/f.u.: 0.056
Total energy, eV/atom: -6.15
SG: P4mm

Cell: 3.115 3.115 7.536 Å, 90.00 90.00 90.00°
Sites, in units of the cell vectors:
Cr 0.000 0.000 0.026
Cr 0.500 0.500 0.171
Zn 0.500 0.500 0.813
La 0.000 0.000 0.490

Record 6
Material: LaZnCr2
Method: DFT, PBE-GGA
State: relaxed

Crystal system: monoclinic
Magnetization, μB/f.u.: 0.000
Total energy, eV/atom: -5.82
SG: P2/m

Cell: 4.605 2.965 5.729 Å, 81.67 90.00 90.00°
Sites, in units of the cell vectors:
Cr 0.000 0.542 0.611
Cr 0.000 0.958 0.889
La 0.500 0.250 0.250
Zn 0.500 0.750 0.750

Record 7
Material: LaZn2Cr
Method: DFT, PBE-GGA
State: relaxed

Crystal system: tetragonal
Magnetization, μB/f.u.: 3.371
Total energy, eV/atom: -4.22
SG: P4/mmm

Cell: 3.321 3.321 7.206 Å, 90.00 90.00 89.98°
Sites, in units of the cell vectors:
Cr 0.500 0.500 0.250
Zn 0.000 0.000 0.063
Zn 0.000 0.000 0.437
La 0.500 0.500 0.750

Record 8
Material: LaZnCr2
Method: DFT, PBE-GGA
State: relaxed

Crystal system: trigonal
Magnetization, μB/f.u.: 6.959
Total energy, eV/atom: -5.62
SG: R-3m

Cell: 9.434 9.434 9.434 Å, 19.45 19.45 19.45°
Sites, in units of the cell vectors:
Cr 0.012 0.012 0.012
Cr 0.488 0.488 0.488
La 0.250 0.250 0.250
Zn 0.750 0.750 0.750

Record 9
Material: La2ZnCr
Method: DFT, PBE-GGA
State: relaxed

Crystal system: monoclinic
Magnetization, μB/f.u.: 2.904
Total energy, eV/atom: -4.88
SG: C2/m

Cell: 4.114 4.114 8.673 Å, 81.16 81.16 49.89°
Sites, in units of the cell vectors:
La 0.504 0.504 0.515
La 0.996 0.996 0.985
Zn 0.250 0.250 0.250
Cr 0.750 0.750 0.750

Record 10
Material: LaZnCr4
Method: DFT, PBE-GGA
State: relaxed

Crystal system: cubic
Magnetization, μB/f.u.: 0.021
Total energy, eV/atom: -6.90
SG: F-43m

Cell: 5.090 5.090 5.090 Å, 60.00 60.00 60.00°
Sites, in units of the cell vectors:
Zn 0.000 0.000 0.000
La 0.750 0.750 0.750
Cr 0.375 0.375 0.874
Cr 0.375 0.375 0.375
Cr 0.375 0.874 0.375
Cr 0.874 0.375 0.375

Record 11
Material: La2ZnCr
Method: DFT, PBE-GGA
State: relaxed

Crystal system: cubic
Magnetization, μB/f.u.: 3.886
Total energy, eV/atom: -4.99
SG: F-43m

Cell: 5.114 5.114 5.114 Å, 60.00 60.00 60.00°
Sites, in units of the cell vectors:
La 0.250 0.250 0.250
La 0.000 0.000 0.000
Cr 0.500 0.500 0.500
Zn 0.750 0.750 0.750

Record 12
Material: La2ZnCr
Method: DFT, PBE-GGA
State: relaxed

Crystal system: monoclinic
Magnetization, μB/f.u.: 3.429
Total energy, eV/atom: -5.09
SG: Pm

Cell: 4.790 3.770 6.252 Å, 72.35 90.00 90.00°
Sites, in units of the cell vectors:
Cr 0.500 0.563 0.748
La 0.000 0.976 0.923
La 0.500 0.272 0.332
Zn 0.000 0.689 0.498

Record 13
Material: La2ZnCr
Method: DFT, PBE-GGA
State: relaxed

Crystal system: tetragonal
Magnetization, μB/f.u.: 3.358
Total energy, eV/atom: -4.99
SG: I-4m2

Cell: 5.795 5.795 5.795 Å, 133.36 133.36 68.08°
Sites, in units of the cell vectors:
La 0.250 0.750 0.500
La 0.000 0.000 0.000
Zn 0.500 0.500 0.000
Cr 0.750 0.250 0.500

Record 14
Material: LaZn2Cr
Method: DFT, PBE-GGA
State: relaxed

Crystal system: monoclinic
Magnetization, μB/f.u.: 3.382
Total energy, eV/atom: -4.15
SG: Pm

Cell: 4.265 3.221 6.329 Å, 75.36 90.00 90.00°
Sites, in units of the cell vectors:
La 0.500 0.799 0.774
Cr 0.000 0.484 0.408
Zn 0.500 0.055 0.270
Zn 0.000 0.163 0.047

Record 15
Material: LaZnCr2
Method: DFT, PBE-GGA
State: relaxed

Crystal system: trigonal
Magnetization, μB/f.u.: 0.399
Total energy, eV/atom: -5.81
SG: R3m

Cell: 9.257 9.257 9.257 Å, 19.06 19.06 19.06°
Sites, in units of the cell vectors:
Cr 0.271 0.271 0.271
Cr 0.993 0.993 0.993
Zn 0.734 0.734 0.734
La 0.502 0.502 0.502